1.
Material: Nd12Cd6Bi
Method: DFT, PBE
State: optimized geometry

Cell: 9.2836 9.2836 9.2836 Å, 111.34 111.34 111.34°
Fractional coordinates of all 19 atoms:
Nd: 0.8961 0.8338 0.2641
Nd: 0.1662 0.7359 0.1039
Nd: 0.7359 0.1039 0.1662
Nd: 0.3339 0.4716 0.1970
Nd: 0.4716 0.1970 0.3339
Nd: 0.1039 0.1662 0.7359
Nd: 0.5284 0.8030 0.6661
Nd: 0.6661 0.5284 0.8030
Nd: 0.2641 0.8961 0.8338
Nd: 0.1970 0.3339 0.4716
Nd: 0.8030 0.6661 0.5284
Nd: 0.8338 0.2641 0.8961
Cd: 0.0555 0.5809 0.3546
Cd: 0.9445 0.4191 0.6454
Cd: 0.4191 0.6454 0.9445
Cd: 0.6454 0.9445 0.4191
Cd: 0.5809 0.3546 0.0555
Cd: 0.3546 0.0555 0.5809
Bi: 0.0000 0.0000 0.0000

## Properties
- Volume: 569.27 Å³/cell
- Formation energy: -0.194 eV per atom
- Crystal system: trigonal

2.
Material: Li2YAg
Method: DFT, PBE
State: optimized geometry

Cell: 4.6663 4.6663 5.2776 Å, 63.76 63.76 60.00°
Fractional coordinates of all 4 atoms:
Ag: 0.7210 0.7210 0.8370
Li: 0.2768 0.2768 0.1695
Li: 0.0047 0.0047 0.9858
Y: 0.4975 0.4975 0.5076

## Properties
- Polymorph energy (0 for the lowest one): 43 meV per atom
- Volume: 85.58 Å³/cell
- Formation energy: -0.053 eV per atom
- Crystal system: trigonal

3.
Material: TmTiGaIr2
Method: DFT, PBE
State: optimized geometry

Cell: 3.9602 3.9602 6.4988 Å, 107.74 107.74 90.00°
Fractional coordinates of all 5 atoms:
Tm: 0.0000 0.0000 0.0000
Ti: 0.2500 0.7500 0.5000
Ga: 0.7500 0.2500 0.5000
Ir: 0.3889 0.3889 0.7778
Ir: 0.6111 0.6111 0.2222

## Properties
- Volume: 91.97 Å³/cell
- Formation energy: -0.811 eV per atom
- Crystal system: tetragonal

4.
Material: SmPaCu2O8
Method: DFT, PBE
State: optimized geometry

Cell: 6.0300 6.0300 6.0300 Å, 107.32 107.32 113.87°
Fractional coordinates of all 12 atoms:
O: 0.3657 0.0553 0.3103
O: 0.8770 0.7051 0.1719
O: 0.7450 0.0553 0.6897
O: 0.9447 0.6343 0.6897
O: 0.5332 0.7051 0.8281
O: 0.2949 0.4668 0.1719
O: 0.2949 0.1230 0.8281
O: 0.9447 0.2550 0.3103
Pa: 0.0000 0.0000 0.0000
Cu: 0.7500 0.2500 0.5000
Cu: 0.5000 0.5000 0.0000
Sm: 0.2500 0.7500 0.5000

## Properties
- E_form (uncorrected): -1710.7 meV/atom
- Volume: 168.03 Å³/cell
- Crystal system: tetragonal

5.
Material: TiMn3I
Method: DFT, PBE
State: optimized geometry

Cell: 4.7485 4.7485 4.7485 Å, 90.00 90.00 90.00°
Fractional coordinates of all 5 atoms:
Ti: 0.5000 0.5000 0.5000
I: 0.0000 0.0000 0.0000
Mn: 0.5000 0.0000 0.0000
Mn: 0.0000 0.0000 0.5000
Mn: 0.0000 0.5000 0.0000

## Properties
- Polymorph energy (0 for the lowest one): 254 meV per atom
- E_form (uncorrected): 1378.5 meV/atom
- Volume: 107.07 Å³/cell
- Crystal system: cubic

6.
Material: SnAuN2
Method: DFT, PBE
State: optimized geometry

Cell: 6.8196 6.8196 6.8196 Å, 27.93 27.93 27.93°
Fractional coordinates of all 4 atoms:
Sn: 0.0000 0.0000 0.0000
N: 0.8846 0.8846 0.8846
N: 0.1154 0.1154 0.1154
Au: 0.5000 0.5000 0.5000

## Properties
- E_form (uncorrected): 1122.7 meV/atom
- Volume: 61.47 Å³/cell
- Crystal system: trigonal

7.
Material: TlSe2Br
Method: DFT, PBE
State: optimized geometry

Cell: 2.9338 2.9338 13.9749 Å, 90.00 90.00 90.00°
Fractional coordinates of all 4 atoms:
Br: 0.5000 0.5000 0.7500
Se: 0.0000 0.0000 0.4485
Se: 0.0000 0.0000 0.0515
Tl: 0.5000 0.5000 0.2500

## Properties
- Polymorph energy (0 for the lowest one): 472 meV per atom
- E_form (uncorrected): 195.8 meV/atom
- Volume: 120.28 Å³/cell
- Crystal system: tetragonal

8.
Material: Ho6ScCd5
Method: DFT, PBE
State: optimized geometry

Cell: 5.2137 7.6299 9.1686 Å, 114.59 106.52 90.00°
Fractional coordinates of all 12 atoms:
Ho: 0.1688 0.9173 0.3375
Ho: 0.8312 0.0827 0.6625
Ho: 0.1688 0.4202 0.3375
Ho: 0.5000 0.2593 0.0000
Ho: 0.5000 0.7407 0.0000
Ho: 0.8312 0.5798 0.6625
Cd: 0.0000 0.5000 0.0000
Cd: 0.6547 0.1547 0.3094
Cd: 0.3453 0.8453 0.6906
Cd: 0.6665 0.6665 0.3329
Cd: 0.3335 0.3335 0.6671
Sc: 0.0000 0.0000 0.0000

## Properties
- Volume: 315.02 Å³/cell
- Formation energy: -0.230 eV per atom
- Crystal system: orthorhombic

9.
Material: HfZrAlIn
Method: DFT, PBE
State: optimized geometry

Cell: 3.0618 3.0618 8.7456 Å, 90.00 90.00 90.00°
Fractional coordinates of all 4 atoms:
In: 0.0000 0.0000 0.0730
Hf: 0.5000 0.5000 0.3427
Zr: 0.5000 0.5000 0.8001
Al: 0.0000 0.0000 0.5689

## Properties
- Volume: 81.99 Å³/cell
- Formation energy: -0.330 eV per atom
- Crystal system: tetragonal